Cs3K2ReO6 (PBE-GGA, optimized geometry); E = -5.4789 eV per atom; space-group type = C2/m, No. 12; magnetization = 0.00 μB/cell
1.0
3.433 -5.945 0.000
3.433 5.945 0.000
-1.964 0.000 5.994
Cs K O Re
3 2 6 1
direct
0.670 0.330 0.000 Cs
0.330 0.670 0.000 Cs
0.500 0.500 0.500 Cs
0.856 0.144 0.500 K
0.144 0.856 0.500 K
0.281 0.052 0.187 O
0.052 0.281 0.187 O
0.824 0.824 0.187 O
0.176 0.176 0.813 O
0.948 0.719 0.813 O
0.719 0.948 0.813 O
0.000 0.000 0.000 Re



GdErH2Cl4 (PBE-GGA, optimized geometry); E = -4.6880 eV per atom; space-group type = P-6m2, No. 187; magnetization = 0.00 μB/cell
1.0
3.741 0.000 0.000
-1.870 3.240 0.000
0.000 0.000 13.422
Cl Er Gd H
4 1 1 2
direct
0.333 0.667 0.132 Cl
0.667 0.333 0.371 Cl
0.667 0.333 0.629 Cl
0.333 0.667 0.868 Cl
0.000 0.000 0.500 Er
0.000 0.000 0.000 Gd
0.667 0.333 0.000 H
0.333 0.667 0.500 H



K3Au (PBE-GGA, optimized geometry); E = -1.7270 eV per atom; space-group type = Cmmm, No. 65
1.0
2.403 -12.622 0.000
2.403 12.622 0.000
0.000 0.000 8.832
Au K
2 6
direct
0.716 0.284 0.000 Au
0.284 0.716 0.000 Au
0.579 0.421 0.000 K
0.421 0.579 0.000 K
0.817 0.183 0.254 K
0.183 0.817 0.254 K
0.817 0.183 0.746 K
0.183 0.817 0.746 K